# 1
The following is a DFT calculation (GGA-PBE) of crystalline PHCl at its relaxed geometry.

Cell and atoms, written as POSCAR:
```
PHCl
1.0
3.376 0.000 0.000
0.335 5.619 0.000
1.604 0.079 7.873
P H Cl
2 2 2
Direct
0.000 0.000 0.000
0.453 0.818 0.138
0.038 0.211 0.527
0.517 0.596 0.049
0.131 0.852 0.758
0.775 0.331 0.456
```

Calculated values
- VASP energy (eV for the cell shown) = -22.89
- DOS at the Fermi energy (states/eV/f.u.) = 0.000
- energy above the most stable polymorph in this dataset (kcal/mol of atoms) = 0.75

# 2
The following is a DFT calculation (GGA-PBE) of crystalline NaYCdCl6 at its relaxed geometry.

Cell and atoms, written as POSCAR:
```
NaYCdCl6
1.0
6.822 0.000 0.000
-3.411 5.908 0.000
0.000 0.000 12.592
Na Y Cd Cl
2 2 2 12
Direct
0.000 0.000 0.000
0.000 0.000 0.500
0.333 0.667 0.250
0.667 0.333 0.750
0.333 0.667 0.750
0.667 0.333 0.250
0.001 0.354 0.131
0.001 0.647 0.369
0.353 0.354 0.369
0.353 0.999 0.131
0.354 0.001 0.631
0.354 0.353 0.869
0.646 0.647 0.131
0.646 0.999 0.369
0.647 0.001 0.869
0.647 0.646 0.631
0.999 0.353 0.631
0.999 0.646 0.869
```

Calculated values
- ΔE_f (raw) (eV per atom) = -1.78
- VASP energy (eV for the cell shown) = -71.55
- DOS at the Fermi energy (states/eV/f.u.) = 0.000

# 3
The following is a DFT calculation (GGA-PBE) of crystalline Tb2GaSn4 at its relaxed geometry.

Cell and atoms, written as POSCAR:
```
Tb2GaSn4
1.0
0.000 4.477 4.729
4.448 0.000 4.729
4.448 4.477 0.000
Tb Ga Sn
2 1 4
Direct
0.000 0.000 0.500
0.500 0.500 0.000
0.000 0.000 0.000
0.000 0.500 0.000
0.000 0.500 0.500
0.500 0.000 0.000
0.500 0.000 0.500
```

Calculated values
- DFT formation energy (eV per formula unit) = -3.13
- VASP energy (eV for the cell shown) = -31.43
- DOS at the Fermi energy (states/eV/f.u.) = 3.718
- energy above the most stable polymorph in this dataset (kcal/mol of atoms) = 0.00

# 4
The following is a DFT calculation (GGA-PBE) of crystalline Tl2AgSn at its relaxed geometry.

Cell and atoms, written as POSCAR:
```
Tl2AgSn
1.0
2.392 1.381 5.767
-2.392 1.381 5.767
0.000 -2.762 5.767
Tl Ag Sn
2 1 1
Direct
0.000 0.000 0.000
0.196 0.196 0.196
0.599 0.599 0.599
0.424 0.424 0.424
```

Calculated values
- DFT formation energy (eV per formula unit) = 0.68
- VASP energy (eV for the cell shown) = -10.91
- DOS at the Fermi energy (states/eV/f.u.) = 1.885
- energy above the most stable polymorph in this dataset (kcal/mol of atoms) = 1.20

# 5
The following is a DFT calculation (GGA-PBE) of crystalline GdDyPt2 at its relaxed geometry.

Cell and atoms, written as POSCAR:
```
GdDyPt2
1.0
0.000 3.512 3.512
3.512 0.000 3.512
3.512 3.512 0.000
Gd Dy Pt
1 1 2
Direct
0.000 0.000 0.000
0.500 0.500 0.500
0.250 0.250 0.250
0.750 0.750 0.750
```

Calculated values
- DFT formation energy (eV per formula unit) = -4.75
- VASP energy (eV for the cell shown) = -35.51
- DOS at the Fermi energy (states/eV/f.u.) = 2.911
- energy above the most stable polymorph in this dataset (kcal/mol of atoms) = 0.08

# 6
The following is a DFT calculation (GGA-PBE) of crystalline ZrInNi2 at its relaxed geometry.

Cell and atoms, written as POSCAR:
```
ZrInNi2
1.0
-2.056 2.056 8.635
2.056 -2.056 8.635
2.056 2.056 -8.635
Zr In Ni
2 2 4
Direct
0.000 0.000 0.000
0.750 0.250 0.500
0.250 0.750 0.500
0.500 0.500 0.000
0.134 0.625 0.009
0.375 0.384 0.509
0.616 0.125 0.991
0.875 0.866 0.491
```

Calculated values
- DFT formation energy (eV per formula unit) = 0.97
- VASP energy (eV for the cell shown) = -43.76
- DOS at the Fermi energy (states/eV/f.u.) = 3.916

# 7
The following is a DFT calculation (GGA-PBE) of crystalline Tm3GeTe6 at its relaxed geometry.

Cell and atoms, written as POSCAR:
```
Tm3GeTe6
1.0
5.980 -7.421 0.000
5.980 7.421 0.000
0.000 0.000 7.277
Tm Ge Te
6 2 12
Direct
0.094 0.906 0.500
0.220 0.415 0.606
0.415 0.220 0.106
0.585 0.780 0.606
0.780 0.585 0.106
0.906 0.094 0.000
0.298 0.702 0.146
0.702 0.298 0.646
0.054 0.596 0.342
0.126 0.201 0.300
0.201 0.126 0.800
0.278 0.722 0.760
0.404 0.946 0.342
0.467 0.533 0.308
0.533 0.467 0.808
0.596 0.054 0.842
0.722 0.278 0.260
0.799 0.874 0.300
0.874 0.799 0.800
0.946 0.404 0.842
```

Calculated values
- ΔE_f (raw) (eV per atom) = -0.96
- VASP energy (eV for the cell shown) = -92.90
- DOS at the Fermi energy (states/eV/f.u.) = 2.965

# 8
The following is a DFT calculation (GGA-PBE) of crystalline Pr4Er5Cd at its relaxed geometry.

Cell and atoms, written as POSCAR:
```
Pr4Er5Cd
1.0
3.628 0.000 0.000
0.000 3.628 0.000
0.000 0.000 24.166
Pr Er Cd
4 5 1
Direct
0.000 0.000 0.104
0.000 0.000 0.314
0.000 0.000 0.686
0.000 0.000 0.896
0.500 0.500 0.000
0.500 0.500 0.209
0.500 0.500 0.418
0.500 0.500 0.582
0.500 0.500 0.791
0.000 0.000 0.500
```

Calculated values
- DFT formation energy (eV per formula unit) = -0.45
- VASP energy (eV for the cell shown) = -43.30
- DOS at the Fermi energy (states/eV/f.u.) = 13.589
- energy above the most stable polymorph in this dataset (kcal/mol of atoms) = 0.00

# 9
The following is a DFT calculation (GGA-PBE) of crystalline KBe2Hg at its relaxed geometry.

Cell and atoms, written as POSCAR:
```
KBe2Hg
1.0
2.793 0.000 0.000
0.000 3.930 0.000
0.000 0.000 7.536
K Be Hg
1 2 1
Direct
0.000 0.000 0.000
0.500 0.500 0.347
0.500 0.500 0.653
0.000 0.000 0.500
```

Calculated values
- DFT formation energy (eV per formula unit) = 2.79
- VASP energy (eV for the cell shown) = -6.06
- DOS at the Fermi energy (states/eV/f.u.) = 1.200

# 10
The following is a DFT calculation (GGA-PBE) of crystalline MgCr2Pb at its relaxed geometry.

Cell and atoms, written as POSCAR:
```
MgCr2Pb
1.0
3.521 0.000 0.000
0.000 3.521 0.000
0.000 0.000 6.397
Mg Cr Pb
1 2 1
Direct
0.000 0.000 0.000
0.500 0.500 0.240
0.500 0.500 0.760
0.000 0.000 0.500
```

Calculated values
- DFT formation energy (eV per formula unit) = 2.28
- VASP energy (eV for the cell shown) = -22.27
- DOS at the Fermi energy (states/eV/f.u.) = 2.916

# 11
The following is a DFT calculation (GGA-PBE) of crystalline PrNd2Y at its relaxed geometry.

Cell and atoms, written as POSCAR:
```
PrNd2Y
1.0
5.173 0.000 0.000
0.000 5.173 0.000
0.000 0.000 5.188
Pr Nd Y
1 2 1
Direct
0.000 0.000 0.000
0.000 0.500 0.500
0.500 0.000 0.500
0.500 0.500 0.000
```

Calculated values
- DFT formation energy (eV per formula unit) = 0.05
- VASP energy (eV for the cell shown) = -20.73
- DOS at the Fermi energy (states/eV/f.u.) = 6.600
- energy above the most stable polymorph in this dataset (kcal/mol of atoms) = 0.04

# 12
The following is a DFT calculation (GGA-PBE) of crystalline Tb9Y11Ho4 at its relaxed geometry.

Cell and atoms, written as POSCAR:
```
Tb9Y11Ho4
1.0
8.346 -12.600 0.000
8.346 12.600 0.000
0.000 0.000 3.684
Tb Y Ho
9 11 4
Direct
0.000 0.000 0.000
0.131 0.664 0.000
0.286 0.431 0.000
0.336 0.869 0.000
0.431 0.286 0.000
0.569 0.714 0.000
0.664 0.131 0.000
0.714 0.569 0.000
0.869 0.336 0.000
0.093 0.455 0.500
0.133 0.867 0.500
0.208 0.208 0.500
0.340 0.660 0.500
0.455 0.093 0.500
0.500 0.500 0.500
0.545 0.907 0.500
0.660 0.340 0.500
0.792 0.792 0.500
0.867 0.133 0.500
0.907 0.545 0.500
0.054 0.256 0.000
0.256 0.054 0.000
0.744 0.946 0.000
0.946 0.744 0.000
```

Calculated values
- DFT formation energy (eV per formula unit) = 1.12
- VASP energy (eV for the cell shown) = -129.97
- DOS at the Fermi energy (states/eV/f.u.) = 30.676

# 13
The following is a DFT calculation (GGA-PBE) of crystalline AcZrH at its relaxed geometry.

Cell and atoms, written as POSCAR:
```
AcZrH
1.0
12.174 0.000 0.000
0.000 1.760 3.051
0.000 -1.760 3.051
Ac Zr H
2 2 2
Direct
0.148 0.000 0.000
0.852 0.000 0.000
0.382 0.332 0.332
0.618 0.332 0.332
0.000 0.333 0.333
0.500 0.998 0.998
```

Calculated values
- VASP energy (eV for the cell shown) = -31.16
- DOS at the Fermi energy (states/eV/f.u.) = 2.858
- energy above the most stable polymorph in this dataset (kcal/mol of atoms) = 2.20

# 14
The following is a DFT calculation (GGA-PBE) of crystalline SmHoSiAg at its relaxed geometry.

Cell and atoms, written as POSCAR:
```
SmHoSiAg
1.0
0.000 3.600 3.600
3.600 0.000 3.600
3.600 3.600 0.000
Sm Ho Si Ag
1 1 1 1
Direct
0.000 0.000 0.000
0.500 0.500 0.500
0.250 0.250 0.250
0.750 0.750 0.750
```

Calculated values
- ΔE_f (raw) (eV per atom) = -0.43
- VASP energy (eV for the cell shown) = -19.30
- DOS at the Fermi energy (states/eV/f.u.) = 3.369

# 15
The following is a DFT calculation (GGA-PBE) of crystalline TbPuCdTc at its relaxed geometry.

Cell and atoms, written as POSCAR:
```
TbPuCdTc
1.0
0.000 3.571 3.571
3.571 0.000 3.571
3.571 3.571 0.000
Tb Pu Cd Tc
1 1 1 1
Direct
0.000 0.000 0.000
0.500 0.500 0.500
0.750 0.750 0.750
0.250 0.250 0.250
```

Calculated values
- DFT formation energy (eV per formula unit) = 0.41
- VASP energy (eV for the cell shown) = -29.83
- DOS at the Fermi energy (states/eV/f.u.) = 10.282

# 16
The following is a DFT calculation (GGA-PBE) of crystalline Nb2FePd9 at its relaxed geometry.

Cell and atoms, written as POSCAR:
```
Nb2FePd9
1.0
3.955 0.000 0.000
0.000 3.955 0.000
0.000 0.000 11.842
Nb Fe Pd
2 1 9
Direct
0.000 0.000 0.175
0.000 0.000 0.825
0.000 0.000 0.500
0.000 0.500 0.000
0.000 0.500 0.333
0.000 0.500 0.667
0.500 0.000 0.000
0.500 0.000 0.333
0.500 0.000 0.667
0.500 0.500 0.165
0.500 0.500 0.500
0.500 0.500 0.835
```

Calculated values
- DFT formation energy (eV per formula unit) = -3.46
- VASP energy (eV for the cell shown) = -78.79
- DOS at the Fermi energy (states/eV/f.u.) = 9.207

# 17
The following is a DFT calculation (GGA-PBE) of crystalline PuZrPaAl at its relaxed geometry.

Cell and atoms, written as POSCAR:
```
PuZrPaAl
1.0
0.000 3.531 3.531
3.531 0.000 3.531
3.531 3.531 0.000
Pu Zr Pa Al
1 1 1 1
Direct
0.000 0.000 0.000
0.500 0.500 0.500
0.750 0.750 0.750
0.250 0.250 0.250
```

Calculated values
- DFT formation energy (eV per formula unit) = -0.13
- VASP energy (eV for the cell shown) = -36.24
- DOS at the Fermi energy (states/eV/f.u.) = 7.753

# 18
The following is a DFT calculation (GGA-PBE) of crystalline Li2Tm5Hg12 at its relaxed geometry.

Cell and atoms, written as POSCAR:
```
Li2Tm5Hg12
1.0
7.991 -5.241 0.000
7.991 5.241 0.000
-1.107 0.000 5.471
Li Tm Hg
2 5 12
Direct
0.245 0.755 0.000
0.755 0.245 0.000
0.000 0.000 0.500
0.219 0.219 0.574
0.353 0.353 0.143
0.647 0.647 0.857
0.781 0.781 0.426
0.058 0.553 0.812
0.110 0.110 0.037
0.144 0.656 0.400
0.344 0.856 0.600
0.443 0.443 0.714
0.447 0.942 0.188
0.553 0.058 0.812
0.557 0.557 0.286
0.656 0.144 0.400
0.856 0.344 0.600
0.890 0.890 0.963
0.942 0.447 0.188
```

Calculated values
- DFT formation energy (eV per formula unit) = -4.64
- VASP energy (eV for the cell shown) = -34.45
- DOS at the Fermi energy (states/eV/f.u.) = 10.802

# 19
The following is a DFT calculation (GGA-PBE) of crystalline Nd6SiBr3N2 at its relaxed geometry.

Cell and atoms, written as POSCAR:
```
Nd6SiBr3N2
1.0
9.372 -1.956 0.000
9.372 1.956 0.000
-3.173 0.000 8.055
Nd Si Br N
6 1 3 2
Direct
0.029 0.029 0.249
0.315 0.315 0.453
0.336 0.336 0.859
0.664 0.664 0.141
0.685 0.685 0.547
0.971 0.971 0.751
0.500 0.500 0.000
0.163 0.163 0.828
0.500 0.500 0.500
0.837 0.837 0.172
0.173 0.173 0.341
0.827 0.827 0.659
```

Calculated values
- ΔE_f (raw) (eV per atom) = -1.25
- VASP energy (eV for the cell shown) = -70.76
- DOS at the Fermi energy (states/eV/f.u.) = 4.573

# 20
The following is a DFT calculation (GGA-PBE) of crystalline Tb5Ge5Ir2 at its relaxed geometry.

Cell and atoms, written as POSCAR:
```
Tb5Ge5Ir2
1.0
7.577 -2.116 0.000
7.577 2.116 0.000
-7.209 0.000 8.313
Tb Ge Ir
5 5 2
Direct
0.000 0.000 0.000
0.117 0.117 0.421
0.198 0.198 0.825
0.802 0.802 0.175
0.883 0.883 0.579
0.253 0.253 0.303
0.441 0.441 0.164
0.500 0.500 0.500
0.559 0.559 0.836
0.747 0.747 0.697
0.356 0.356 0.741
0.644 0.644 0.259
```

Calculated values
- DFT formation energy (eV per formula unit) = -9.61
- VASP energy (eV for the cell shown) = -73.57
- DOS at the Fermi energy (states/eV/f.u.) = 7.539

# 21
The following is a DFT calculation (GGA-PBE) of crystalline LaMgW at its relaxed geometry.

Cell and atoms, written as POSCAR:
```
LaMgW
1.0
-1.459 1.459 7.873
1.459 -1.459 7.873
1.459 1.459 -7.873
La Mg W
1 1 1
Direct
0.000 0.000 0.000
0.696 0.696 0.000
0.333 0.333 0.000
```

Calculated values
- DFT formation energy (eV per formula unit) = 1.63
- VASP energy (eV for the cell shown) = -17.85
- DOS at the Fermi energy (states/eV/f.u.) = 2.289
- energy above the most stable polymorph in this dataset (kcal/mol of atoms) = 0.00

# 22
The following is a DFT calculation (GGA-PBE) of crystalline MnAlRe2 at its relaxed geometry.

Cell and atoms, written as POSCAR:
```
MnAlRe2
1.0
-1.884 1.884 3.952
1.884 -1.884 3.952
1.884 1.884 -3.952
Mn Al Re
1 1 2
Direct
0.000 0.000 0.000
0.500 0.500 0.000
0.250 0.750 0.500
0.750 0.250 0.500
```

Calculated values
- DFT formation energy (eV per formula unit) = -0.08
- VASP energy (eV for the cell shown) = -37.89
- DOS at the Fermi energy (states/eV/f.u.) = 2.347

# 23
The following is a DFT calculation (GGA-PBE) of crystalline DyAlAu3 at its relaxed geometry.

Cell and atoms, written as POSCAR:
```
DyAlAu3
1.0
6.591 0.000 0.000
0.000 4.422 0.000
-1.767 0.000 6.785
Dy Al Au
2 2 6
Direct
0.196 0.250 0.190
0.804 0.750 0.810
0.221 0.750 0.564
0.779 0.250 0.436
0.093 0.250 0.738
0.346 0.750 0.953
0.480 0.250 0.627
0.520 0.750 0.373
0.654 0.250 0.047
0.907 0.750 0.262
```

Calculated values
- DFT formation energy (eV per formula unit) = -3.36
- VASP energy (eV for the cell shown) = -43.07
- DOS at the Fermi energy (states/eV/f.u.) = 1.465
- energy above the most stable polymorph in this dataset (kcal/mol of atoms) = 0.00

# 24
The following is a DFT calculation (GGA-PBE) of crystalline Ce2DyZn at its relaxed geometry.

Cell and atoms, written as POSCAR:
```
Ce2DyZn
1.0
3.720 0.000 0.000
0.000 3.720 0.000
0.000 0.000 7.939
Ce Dy Zn
2 1 1
Direct
0.000 0.000 0.200
0.000 0.000 0.800
0.500 0.500 0.500
0.500 0.500 0.000
```

Calculated values
- DFT formation energy (eV per formula unit) = -0.02
- VASP energy (eV for the cell shown) = -17.77
- DOS at the Fermi energy (states/eV/f.u.) = 11.173
- energy above the most stable polymorph in this dataset (kcal/mol of atoms) = 0.17